Sn3BiO | PBE | relaxed

```
Sn3BiO
1.0
-0.3986 4.6233 1.8410
-3.8829 -1.4441 2.7858
3.1124 -1.2095 3.7112
Sn Bi O
3 1 1
Direct
0.0000 0.0000 0.5000 Sn
0.0000 0.5000 0.0000 Sn
0.5000 0.0000 0.0000 Sn
0.5000 0.5000 0.5000 Bi
0.0000 0.0000 0.0000 O
```

The energy above the most stable polymorph in this dataset is 0.00 kJ per mole of atoms. The value obtained for the raw total energy is -4.445 eV/atom. The calculated density is 7755 kg/m3. As for the magnetization: 0.00 μB/f.u. The density of states at the Fermi level is 0.429 states/eV per atom. For the uncorrected formation energy, the calculation gives -133 kJ/mol of formula units.